Entry 1:
# TbTiZnCd | Alexandria via LeMat-Bulk | PBE | optimized geometry
# calculated volume: 85.0 Å³/cell
# magnetic moment: 1.63 μB/cell
# formation enthalpy at 0 K: -77 meV/atom
# symmetry: No. 216
data_TbTiZnCd
_chemical_formula_sum 'Tb1 Ti1 Zn1 Cd1'
_symmetry_space_group_name_H-M 'P 1'
_symmetry_Int_Tables_number 1
_cell_length_a 4.9350
_cell_length_b 4.9350
_cell_length_c 4.9350
_cell_angle_alpha 60.00
_cell_angle_beta 60.00
_cell_angle_gamma 60.00
loop_
_symmetry_equiv_pos_as_xyz
'x,y,z'
loop_
_atom_site_label
_atom_site_type_symbol
_atom_site_fract_x
_atom_site_fract_y
_atom_site_fract_z
Tb1 Tb 0.0000 0.0000 0.0000
Ti1 Ti 0.5000 0.5000 0.5000
Zn1 Zn 0.7500 0.7500 0.7500
Cd1 Cd 0.2500 0.2500 0.2500

Entry 2:
# KNaGaF6 | Alexandria via LeMat-Bulk | PBE | optimized geometry
# calculated volume: 154.7 Å³/cell
# magnetic moment: 1.05 μB/cell
# formation energy without anion corrections: -2419 meV/atom
# symmetry: No. 149
data_KNaGaF6
_chemical_formula_sum 'K1 Na1 Ga1 F6'
_symmetry_space_group_name_H-M 'P 1'
_symmetry_Int_Tables_number 1
_cell_length_a 5.7735
_cell_length_b 5.7735
_cell_length_c 5.3585
_cell_angle_alpha 90.00
_cell_angle_beta 90.00
_cell_angle_gamma 120.00
loop_
_symmetry_equiv_pos_as_xyz
'x,y,z'
loop_
_atom_site_label
_atom_site_type_symbol
_atom_site_fract_x
_atom_site_fract_y
_atom_site_fract_z
K1 K 0.0000 0.0000 0.0000
Na1 Na 0.3333 0.6667 0.5000
Ga1 Ga 0.6667 0.3333 0.5000
F1 F 0.3966 0.0533 0.7002
F2 F 0.3966 0.3432 0.2998
F3 F 0.6568 0.0533 0.2998
F4 F 0.6568 0.6034 0.7002
F5 F 0.9467 0.3432 0.7002
F6 F 0.9467 0.6034 0.2998

Entry 3:
# SrTl2In | Alexandria via LeMat-Bulk | PBE | optimized geometry
# calculated volume: 138.8 Å³/cell
# magnetic moment: 0.00 μB/cell
# formation enthalpy at 0 K: -157 meV/atom
# symmetry: No. 160
data_SrTl2In
_chemical_formula_sum 'Sr1 Tl2 In1'
_symmetry_space_group_name_H-M 'P 1'
_symmetry_Int_Tables_number 1
_cell_length_a 7.9281
_cell_length_b 7.9281
_cell_length_c 7.9281
_cell_angle_alpha 33.99
_cell_angle_beta 33.99
_cell_angle_gamma 33.99
loop_
_symmetry_equiv_pos_as_xyz
'x,y,z'
loop_
_atom_site_label
_atom_site_type_symbol
_atom_site_fract_x
_atom_site_fract_y
_atom_site_fract_z
Sr1 Sr 0.0000 0.0000 0.0000
Tl1 Tl 0.4264 0.4264 0.4264
Tl2 Tl 0.5670 0.5670 0.5670
In1 In 0.8276 0.8276 0.8276

Entry 4:
# YSb2IrI | Alexandria via LeMat-Bulk | PBE | optimized geometry
# offset from the most stable computed form: 983 meV per atom
# calculated volume: 193.6 Å³/cell
# magnetic moment: 1.84 μB/cell
# formation energy without anion corrections: 1150 meV/atom
# symmetry: No. 123
data_YSb2IrI
_chemical_formula_sum 'Y1 Sb2 Ir1 I1'
_symmetry_space_group_name_H-M 'P 1'
_symmetry_Int_Tables_number 1
_cell_length_a 5.8320
_cell_length_b 5.8320
_cell_length_c 5.6908
_cell_angle_alpha 90.00
_cell_angle_beta 90.00
_cell_angle_gamma 90.00
loop_
_symmetry_equiv_pos_as_xyz
'x,y,z'
loop_
_atom_site_label
_atom_site_type_symbol
_atom_site_fract_x
_atom_site_fract_y
_atom_site_fract_z
Y1 Y 0.0000 0.0000 0.0000
Sb1 Sb 0.0000 0.5000 0.0000
Sb2 Sb 0.5000 0.0000 0.0000
Ir1 Ir 0.5000 0.5000 0.5000
I1 I 0.0000 0.0000 0.5000

Entry 5:
# Pa8Tc5Ru | Alexandria via LeMat-Bulk | PBE | optimized geometry
# calculated volume: 306.6 Å³/cell
# magnetic moment: 0.00 μB/cell
# formation enthalpy at 0 K: -191 meV/atom
# symmetry: No. 82
data_Pa8Tc5Ru
_chemical_formula_sum 'Pa8 Tc5 Ru1'
_symmetry_space_group_name_H-M 'P 1'
_symmetry_Int_Tables_number 1
_cell_length_a 7.3575
_cell_length_b 7.3575
_cell_length_c 7.3575
_cell_angle_alpha 109.37
_cell_angle_beta 109.37
_cell_angle_gamma 109.66
loop_
_symmetry_equiv_pos_as_xyz
'x,y,z'
loop_
_atom_site_label
_atom_site_type_symbol
_atom_site_fract_x
_atom_site_fract_y
_atom_site_fract_z
Pa1 Pa 0.0089 0.3771 0.2478
Pa2 Pa 0.1245 0.2598 0.7537
Pa3 Pa 0.1292 0.7610 0.7522
Pa4 Pa 0.2390 0.9911 0.3682
Pa5 Pa 0.5061 0.3708 0.2463
Pa6 Pa 0.6229 0.8708 0.6318
Pa7 Pa 0.6292 0.8755 0.1353
Pa8 Pa 0.7402 0.4939 0.8647
Tc1 Tc 0.0000 0.0000 0.0000
Tc2 Tc 0.2501 0.6295 0.1224
Tc3 Tc 0.3705 0.4930 0.6206
Tc4 Tc 0.5070 0.1277 0.8776
Tc5 Tc 0.8723 0.7499 0.3794
Ru1 Ru 0.7500 0.2500 0.5000

Entry 6:
# Pr7Zn2Cd2 | Alexandria via LeMat-Bulk | PBE | optimized geometry
# calculated volume: 355.8 Å³/cell
# magnetic moment: 0.00 μB/cell
# formation enthalpy at 0 K: -6 meV/atom
# symmetry: No. 65
data_Pr7Zn2Cd2
_chemical_formula_sum 'Pr7 Zn2 Cd2'
_symmetry_space_group_name_H-M 'P 1'
_symmetry_Int_Tables_number 1
_cell_length_a 6.8878
_cell_length_b 6.8878
_cell_length_c 8.0415
_cell_angle_alpha 90.00
_cell_angle_beta 90.00
_cell_angle_gamma 111.15
loop_
_symmetry_equiv_pos_as_xyz
'x,y,z'
loop_
_atom_site_label
_atom_site_type_symbol
_atom_site_fract_x
_atom_site_fract_y
_atom_site_fract_z
Pr1 Pr 0.0000 0.0000 0.0000
Pr2 Pr 0.0000 0.5000 0.2781
Pr3 Pr 0.0000 0.5000 0.7219
Pr4 Pr 0.5000 0.0000 0.2781
Pr5 Pr 0.5000 0.0000 0.7219
Pr6 Pr 0.5000 0.5000 0.2429
Pr7 Pr 0.5000 0.5000 0.7571
Zn1 Zn 0.2878 0.7122 0.0000
Zn2 Zn 0.7122 0.2878 0.0000
Cd1 Cd 0.1770 0.1770 0.5000
Cd2 Cd 0.8230 0.8230 0.5000

Entry 7:
# Ce2Nd2CuSi4 | Alexandria via LeMat-Bulk | PBE | optimized geometry
# calculated volume: 203.2 Å³/cell
# magnetic moment: 2.50 μB/cell
# formation energy without anion corrections: -284 meV/atom
# symmetry: No. 139
data_Ce2Nd2CuSi4
_chemical_formula_sum 'Ce2 Nd2 Cu1 Si4'
_symmetry_space_group_name_H-M 'P 1'
_symmetry_Int_Tables_number 1
_cell_length_a 6.4669
_cell_length_b 6.4669
_cell_length_c 6.4669
_cell_angle_alpha 114.90
_cell_angle_beta 114.90
_cell_angle_gamma 99.08
loop_
_symmetry_equiv_pos_as_xyz
'x,y,z'
loop_
_atom_site_label
_atom_site_type_symbol
_atom_site_fract_x
_atom_site_fract_y
_atom_site_fract_z
Ce1 Ce 0.1693 0.1693 0.0000
Ce2 Ce 0.8307 0.8307 0.0000
Nd1 Nd 0.2500 0.7500 0.5000
Nd2 Nd 0.7500 0.2500 0.5000
Cu1 Cu 0.5000 0.5000 0.0000
Si1 Si 0.2678 0.2678 0.5356
Si2 Si 0.2678 0.7322 0.0000
Si3 Si 0.7322 0.2678 0.0000
Si4 Si 0.7322 0.7322 0.4644

Entry 8:
# TmPu2Sb3Rh4 | Alexandria via LeMat-Bulk | PBE | optimized geometry
# calculated volume: 215.7 Å³/cell
# magnetic moment: 11.09 μB/cell
# formation energy without anion corrections: -658 meV/atom
# symmetry: No. 115
data_TmPu2Sb3Rh4
_chemical_formula_sum 'Tm1 Pu2 Sb3 Rh4'
_symmetry_space_group_name_H-M 'P 1'
_symmetry_Int_Tables_number 1
_cell_length_a 4.3084
_cell_length_b 4.3084
_cell_length_c 11.6214
_cell_angle_alpha 90.00
_cell_angle_beta 90.00
_cell_angle_gamma 90.00
loop_
_symmetry_equiv_pos_as_xyz
'x,y,z'
loop_
_atom_site_label
_atom_site_type_symbol
_atom_site_fract_x
_atom_site_fract_y
_atom_site_fract_z
Tm1 Tm 0.0000 0.0000 0.0000
Pu1 Pu 0.0000 0.5000 0.7403
Pu2 Pu 0.5000 0.0000 0.2597
Sb1 Sb 0.0000 0.5000 0.3694
Sb2 Sb 0.5000 0.0000 0.6306
Sb3 Sb 0.5000 0.5000 0.0000
Rh1 Rh 0.0000 0.0000 0.5000
Rh2 Rh 0.0000 0.5000 0.1477
Rh3 Rh 0.5000 0.0000 0.8523
Rh4 Rh 0.5000 0.5000 0.5000

Entry 9:
# Ac3AlIn2Hg6 | Alexandria via LeMat-Bulk | PBE | optimized geometry
# calculated volume: 351.5 Å³/cell
# magnetic moment: 0.00 μB/cell
# formation enthalpy at 0 K: -268 meV/atom
# symmetry: No. 164
data_Ac3AlIn2Hg6
_chemical_formula_sum 'Ac3 Al1 In2 Hg6'
_symmetry_space_group_name_H-M 'P 1'
_symmetry_Int_Tables_number 1
_cell_length_a 6.6451
_cell_length_b 6.6451
_cell_length_c 9.1907
_cell_angle_alpha 90.00
_cell_angle_beta 90.00
_cell_angle_gamma 120.00
loop_
_symmetry_equiv_pos_as_xyz
'x,y,z'
loop_
_atom_site_label
_atom_site_type_symbol
_atom_site_fract_x
_atom_site_fract_y
_atom_site_fract_z
Ac1 Ac 0.0000 0.0000 0.0000
Ac2 Ac 0.3333 0.6667 0.6326
Ac3 Ac 0.6667 0.3333 0.3674
Al1 Al 0.0000 0.0000 0.5000
In1 In 0.3333 0.6667 0.0146
In2 In 0.6667 0.3333 0.9854
Hg1 Hg 0.1755 0.3510 0.2901
Hg2 Hg 0.1755 0.8245 0.2901
Hg3 Hg 0.3510 0.1755 0.7099
Hg4 Hg 0.6490 0.8245 0.2901
Hg5 Hg 0.8245 0.1755 0.7099
Hg6 Hg 0.8245 0.6490 0.7099